A relaxed structure of BaCrReO6, computed with GGA+U.

The structure in extended XYZ format:
```
9
Lattice="-2.686 -3.375 -3.029 1.703 -4.954 -0.579 -3.115 -1.599 4.539" Properties=species:S:1:pos:R:3 pbc="T T T"
Ba -0.982 -8.329 -3.607
Cr -2.212 -6.352 -0.135
Re -1.885 -3.576 1.067
O -0.357 -2.442 1.141
O -3.148 -2.469 1.964
O -3.113 -5.031 1.087
O -1.161 -4.138 2.736
O -0.969 -4.770 -0.100
O -2.560 -2.604 -0.425
```

Results
Total DFT energy (no corrections) (eV for the cell shown): -70.2